(1)
First-principles (PBE) data for crystalline PuHfPa2N4 at its relaxed geometry, as listed in the Alexandria database.

extended XYZ file:
```
8
Lattice="3.399 0.000 0.000 0.000 5.933 0.124 0.000 -2.051 5.574" Properties=species:S:1:pos:R:3 pbc="T T T"
Hf 0.000 0.000 0.000
Pa 1.700 -1.026 2.787
Pu 1.700 2.967 0.062
N 1.700 3.009 4.371
Pa 0.000 1.941 2.849
N 1.700 0.872 1.327
N 0.000 4.050 1.440
N 0.000 -0.168 4.259
```

Properties
The symmetry is P2/m (10). The calculation puts the uncorrected formation energy at -1.572 eV/atom.

=====

(2)
First-principles (PBE) data for crystalline Li2CeDyS4 at its relaxed geometry, as listed in the Alexandria database.

extended XYZ file:
```
8
Lattice="3.985 0.000 0.000 0.000 6.902 0.120 0.000 -2.400 6.136" Properties=species:S:1:pos:R:3 pbc="T T T"
Dy 0.000 0.000 0.000
S 1.993 3.423 4.681
S 1.993 1.079 1.575
Ce 1.993 3.451 0.060
Li 1.993 -1.200 3.068
Li 0.000 2.251 3.128
S 0.000 -0.122 4.599
S 0.000 4.624 1.658
```

Properties
The symmetry is P2/m (10). The calculation puts the uncorrected formation energy at -1.777 eV/atom.

=====

(3)
First-principles (PBE) data for crystalline Cr2RuW at its relaxed geometry, as listed in the Alexandria database.

extended XYZ file:
```
4
Lattice="-3.769 -1.019 1.751 -1.295 -4.077 0.067 -0.130 -2.142 3.701" Properties=species:S:1:pos:R:3 pbc="T T T"
W -3.895 -5.429 4.140
Ru -2.597 -3.619 2.760
Cr 0.000 0.000 0.000
Cr -1.298 -1.810 1.380
```

Properties
The symmetry is F-43m (216). The calculation puts the distance to the lowest polymorph of the same formula at 24 kJ/mol of formula units.

=====

(4)
First-principles (PBE) data for crystalline CaCoCl2 at its relaxed geometry, as listed in the Alexandria database.

extended XYZ file:
```
4
Lattice="-4.134 -3.156 -3.814 -1.959 -6.099 0.755 0.637 5.837 2.668" Properties=species:S:1:pos:R:3 pbc="T T T"
Cl -5.412 -8.220 -2.717
Cl -3.728 -5.662 -1.872
Co -3.272 -0.973 -1.338
Ca -2.184 -2.444 0.947
```

Properties
The symmetry is Immm (71). The calculation puts the uncorrected formation energy at -0.848 eV/atom. The calculation puts the distance to the lowest polymorph of the same formula at 31 kJ/mol of formula units.

=====

(5)
First-principles (PBE) data for crystalline W2CSe at its relaxed geometry, as listed in the Alexandria database.

extended XYZ file:
```
4
Lattice="-2.988 -2.512 1.546 -3.555 -0.604 -2.151 -0.758 -3.716 -1.801" Properties=species:S:1:pos:R:3 pbc="T T T"
C 0.000 0.000 0.000
W -1.825 -1.708 -0.601
Se -3.650 -3.416 -1.203
W -5.476 -5.124 -1.804
```

Properties
The symmetry is Fm-3m (225). The calculation puts the uncorrected formation energy at 1.059 eV/atom. The calculation puts the distance to the lowest polymorph of the same formula at 140 kJ/mol of formula units.

=====

(6)
First-principles (PBE) data for crystalline CeOs2 at its relaxed geometry, as listed in the Alexandria database.

extended XYZ file:
```
3
Lattice="-1.180 2.391 1.098 -1.938 0.024 -2.135 -2.436 -4.824 4.105" Properties=species:S:1:pos:R:3 pbc="T T T"
Ce 0.000 0.000 0.000
Os -3.059 -0.150 0.828
Os -2.495 -2.258 2.239
```

Properties
The symmetry is I4/mmm (139). The total DFT energy (no corrections) comes out at -9.44 eV per atom.

=====

(7)
First-principles (PBE) data for crystalline MgFeC2I at its relaxed geometry, as listed in the Alexandria database.

extended XYZ file:
```
5
Lattice="-0.687 -1.736 3.259 5.798 -0.085 1.176 -0.298 3.330 1.711" Properties=species:S:1:pos:R:3 pbc="T T T"
Fe 0.000 0.000 0.000
I 2.406 0.755 3.073
Mg 2.899 -0.043 0.588
C -0.149 1.665 0.856
C -0.343 -0.868 1.630
```

Properties
The symmetry is P4/mmm (123). The calculation puts the uncorrected formation energy at 1.066 eV/atom.

=====

(8)
First-principles (PBE) data for crystalline Rb4Tb3PmSe8 at its relaxed geometry, as listed in the Alexandria database.

extended XYZ file:
```
16
Lattice="-5.531 -6.376 -1.452 5.299 -5.781 5.203 -2.685 7.236 3.715" Properties=species:S:1:pos:R:3 pbc="T T T"
Se -0.001 -3.215 1.316
Rb -1.343 3.618 1.858
Rb -4.108 0.430 1.132
Se -1.309 0.410 3.186
Se -1.608 -5.331 4.280
Tb -1.459 -2.461 3.733
Se 1.135 -2.130 5.034
Rb 0.000 0.000 0.000
Rb -2.765 -3.188 -0.726
Se -4.052 -2.791 2.433
Tb 1.307 0.727 4.459
Se -2.728 -6.358 0.601
Se -2.916 -1.707 6.150
Tb -0.116 -6.078 1.876
Pm 2.649 -2.890 2.601
Se -0.189 1.437 6.866
```

Properties
The symmetry is R-3m (166). The calculation puts the uncorrected formation energy at -1.741 eV/atom.